[1]
A plane-wave DFT calculation with PBE-GGA was carried out for crystalline KPbW2 at its relaxed geometry.

```
4
Lattice="-1.421 2.684 5.857 1.421 -2.684 5.857 1.421 2.684 -5.857" Properties=species:S:1:pos:R:3 pbc="T T T"
K 0.000 0.000 0.000
Pb 0.000 0.000 5.857
W 1.421 0.000 3.322
W 0.000 2.684 2.535
```

As for the energy relative to the elements: 1.467 eV per atom. As for the symmetry: Immm (71). The calculation puts the total magnetization at 0.00 μB per formula unit. The value obtained for the electronic total energy is -24.84 eV/f.u.

[2]
A plane-wave DFT calculation with PBE-GGA was carried out for crystalline K2PbW at its relaxed geometry.

```
4
Lattice="1.589 0.917 12.465 -1.589 0.917 12.465 0.000 -1.835 12.465" Properties=species:S:1:pos:R:3 pbc="T T T"
K 0.000 0.000 9.224
K 0.000 0.000 28.169
Pb 0.000 0.000 0.000
W 0.000 0.000 18.697
```

As for the energy relative to the elements: 1.114 eV per atom. As for the symmetry: R-3m (166). The calculation puts the total magnetization at 0.05 μB per formula unit. The value obtained for the electronic total energy is -14.40 eV/f.u.

[3]
A plane-wave DFT calculation with PBE-GGA was carried out for crystalline K2Pb2W at its relaxed geometry.

```
10
Lattice="10.305 0.000 0.000 0.000 10.305 0.000 0.000 0.000 3.058" Properties=species:S:1:pos:R:3 pbc="T T T"
K 1.249 3.904 0.000
K 3.904 9.056 0.000
K 6.402 1.249 0.000
K 9.056 6.402 0.000
Pb 1.846 6.999 1.529
Pb 3.307 1.846 1.529
Pb 6.999 8.459 1.529
Pb 8.459 3.307 1.529
W 0.000 0.000 0.000
W 5.153 5.153 0.000
```

As for the energy relative to the elements: 1.242 eV per atom. As for the symmetry: P4/mbm (127). The calculation puts the total magnetization at 2.14 μB per formula unit. The value obtained for the electronic total energy is -16.35 eV/f.u.

[4]
A plane-wave DFT calculation with PBE-GGA was carried out for crystalline KPb2W at its relaxed geometry.

```
4
Lattice="3.035 0.000 0.000 0.000 3.035 0.000 0.000 0.000 12.450" Properties=species:S:1:pos:R:3 pbc="T T T"
K 0.000 0.000 0.000
Pb 0.000 0.000 7.226
Pb 1.517 1.517 3.291
W 1.517 1.517 9.533
```

As for the energy relative to the elements: 0.942 eV per atom. As for the symmetry: P4mm (99). The calculation puts the total magnetization at 0.00 μB per formula unit. The value obtained for the electronic total energy is -17.70 eV/f.u.

[5]
A plane-wave DFT calculation with PBE-GGA was carried out for crystalline KPbW2 at its relaxed geometry.

```
8
Lattice="-2.155 2.155 10.603 2.155 -2.155 10.603 2.155 2.155 -10.603" Properties=species:S:1:pos:R:3 pbc="T T T"
K 0.000 0.000 0.000
K 0.000 2.155 5.302
Pb 2.155 0.000 5.302
Pb 0.000 0.000 10.603
W 1.078 -0.708 7.952
W 1.448 1.078 2.651
W 1.078 2.863 -2.651
W 0.708 1.078 13.254
```

As for the energy relative to the elements: 1.694 eV per atom. As for the symmetry: I-42d (122). The calculation puts the total magnetization at 0.00 μB per formula unit. The value obtained for the electronic total energy is -23.93 eV/f.u.

[6]
A plane-wave DFT calculation with PBE-GGA was carried out for crystalline KPbW2 at its relaxed geometry.

```
4
Lattice="1.507 0.870 11.122 -1.507 0.870 11.122 0.000 -1.740 11.122" Properties=species:S:1:pos:R:3 pbc="T T T"
K 0.000 0.000 0.000
Pb 0.000 0.000 16.682
W 0.000 0.000 8.012
W 0.000 0.000 25.352
```

As for the energy relative to the elements: 1.459 eV per atom. As for the symmetry: R-3m (166). The calculation puts the total magnetization at 0.00 μB per formula unit. The value obtained for the electronic total energy is -24.88 eV/f.u.

[7]
A plane-wave DFT calculation with PBE-GGA was carried out for crystalline KPbW2 at its relaxed geometry.

```
4
Lattice="1.688 -2.561 0.000 1.688 2.561 0.000 0.000 0.000 10.636" Properties=species:S:1:pos:R:3 pbc="T T T"
K 0.000 0.000 0.000
Pb 1.688 0.000 7.477
W 0.000 0.000 4.944
W 1.688 0.000 3.057
```

As for the energy relative to the elements: 0.797 eV per atom. As for the symmetry: Cmm2 (35). The calculation puts the total magnetization at 0.00 μB per formula unit. The value obtained for the electronic total energy is -27.53 eV/f.u.

[8]
A plane-wave DFT calculation with PBE-GGA was carried out for crystalline KPbW2 at its relaxed geometry.

```
4
Lattice="4.360 -1.538 0.000 4.360 1.538 0.000 -0.756 0.000 7.958" Properties=species:S:1:pos:R:3 pbc="T T T"
K 0.000 0.000 0.000
Pb 1.587 0.000 5.265
W 3.945 0.000 3.534
W 6.488 0.000 2.644
```

As for the energy relative to the elements: 0.927 eV per atom. As for the symmetry: Cm (8). The calculation puts the total magnetization at 0.00 μB per formula unit. The value obtained for the electronic total energy is -27.00 eV/f.u.

> Look up the electronic total energy of the fourth one.

-17.70 eV/f.u.

> The lowest energy relative to the elements belongs to which entry?

number 7

> Among the records above, which one has the lowest energy relative to the elements?

number 7